Computed, not measured: crystalline P2PbAu2 at its relaxed geometry at the GGA-PBE level of DFT.

abc: 3.314 11.549 11.321
angles: 90.00 90.00 90.00
Space group Cmcm (No. 63)
Unique sites:
P1 0.000 0.202 0.043 x8
Pb1 0.000 0.478 0.250 x4
Au1 0.000 0.000 0.000 x4
Au2 0.000 0.224 0.250 x4

Computed properties:
* VASP energy: -4.346 eV per atom
* magnetization: 0.000 μB per atom
* polymorph energy (0 for the lowest one): 0.000 eV/atom
* E_form: -129 meV per atom